Record 1
Here is CsY2Al2 after structural relaxation from Alexandria via LeMat-Bulk. Energies are from PBE.

Output
Energy: -42.12 eV/cell
Fermi-level density of states: 7.1 states/eV/cell
Spin magnetization: 0.000 μB per cell

POSCAR file:
```
CsY2Al2
1.0
-2.545 3.519 -8.434
-8.401 -4.346 0.722
-1.267 2.700 1.509
Al Y Cs
4 4 2
direct
0.666 0.834 0.500
0.834 0.334 0.500
0.166 0.666 0.500
0.334 0.166 0.500
0.873 0.627 0.000
0.627 0.127 0.000
0.127 0.373 0.000
0.373 0.873 0.000
0.500 0.500 0.000
0.000 0.000 0.000
```

---

Record 2
Here is Ti2GaCoH after structural relaxation from Alexandria via LeMat-Bulk. Energies are from PBE.

Output
Energy: -31.32 eV/cell
Fermi-level density of states: 4.5 states/eV/cell
Spin magnetization: 1.232 μB per cell

POSCAR file:
```
Ti2GaCoH
1.0
4.050 0.000 0.000
0.000 4.050 0.000
0.000 0.000 3.620
Ti H Co Ga
2 1 1 1
direct
0.500 0.000 0.000
0.000 0.500 0.000
0.000 0.000 0.000
0.000 0.000 0.500
0.500 0.500 0.500
```

---

Record 3
Here is Rb4Ac3AlTe8 after structural relaxation from Alexandria via LeMat-Bulk. Energies are from PBE.

Output
Fermi-level density of states: 0.1 states/eV/cell
Spin magnetization: 0.000 μB per cell
Raw formation energy: -1215.8 meV/atom

POSCAR file:
```
Rb4Ac3AlTe8
1.0
-1.254 9.244 -1.690
-10.019 -1.065 1.609
5.890 -2.804 6.882
Rb Ac Te Al
4 3 8 1
direct
0.000 0.000 0.000
0.500 0.000 0.500
0.000 0.000 0.500
0.500 0.000 0.000
0.500 0.500 0.500
0.000 0.500 0.500
0.500 0.500 0.000
0.739 0.718 0.478
0.215 0.698 0.982
0.215 0.698 0.431
0.767 0.698 0.982
0.785 0.302 0.018
0.785 0.302 0.569
0.261 0.282 0.522
0.233 0.302 0.018
0.000 0.500 0.000
```

---

Record 4
Here is Cs3YNb2O8 after structural relaxation from Alexandria via LeMat-Bulk. Energies are from PBE.

Output
Fermi-level density of states: 0.0 states/eV/cell
Spin magnetization: 0.000 μB per cell
Raw formation energy: -2566.3 meV/atom

POSCAR file:
```
Cs3YNb2O8
1.0
6.383 0.000 0.000
-3.192 5.528 0.000
0.000 0.000 8.507
Cs O Nb Y
3 8 2 1
direct
0.667 0.333 0.279
0.000 0.000 0.000
0.333 0.667 0.721
0.170 0.830 0.344
0.830 0.170 0.656
0.333 0.667 0.059
0.170 0.340 0.344
0.830 0.660 0.656
0.340 0.170 0.656
0.660 0.830 0.344
0.667 0.333 0.941
0.333 0.667 0.274
0.667 0.333 0.726
0.000 0.000 0.500
```